(1)
# Be2CoAu PBE optimized geometry
# Formation enthalpy at 0 K (eV/atom): 0.01
# N(E_F) (states/eV per cell): 4.37
data_Be2CoAu
_space_group_name_H-M_alt 'C 1 2/m 1'
_space_group_IT_number 12
_space_group_name_Hall '-C 2y'
_cell_length_a 7.3765
_cell_length_b 2.8028
_cell_length_c 4.5483
_cell_angle_alpha 90.00
_cell_angle_beta 104.24
_cell_angle_gamma 90.00
loop_
_atom_site_label
_atom_site_type_symbol
_atom_site_fract_x
_atom_site_fract_y
_atom_site_fract_z
Be1 Be 0.2402 0.0000 0.1922
Co1 Co 0.0000 0.5000 0.0000
Au1 Au 0.0000 0.0000 0.5000

---

(2)
# CdF PBE optimized geometry
# N(E_F) (states/eV per cell): 0.80
# Raw formation energy (meV per atom): -1502
data_CdF
_space_group_name_H-M_alt 'P 1'
_space_group_IT_number 1
_space_group_name_Hall 'P 1'
_cell_length_a 3.3602
_cell_length_b 3.5006
_cell_length_c 8.3174
_cell_angle_alpha 79.79
_cell_angle_beta 79.01
_cell_angle_gamma 61.35
loop_
_atom_site_label
_atom_site_type_symbol
_atom_site_fract_x
_atom_site_fract_y
_atom_site_fract_z
Cd1 Cd 0.0000 0.0000 0.0000
Cd2 Cd 0.4969 0.4880 0.4999
F1 F 0.1216 0.1055 0.6406
F2 F 0.8724 0.8702 0.3591

---

(3)
# InHgOsC2 PBE optimized geometry
# Formation enthalpy at 0 K (eV/atom): 2.95
# N(E_F) (states/eV per cell): 4.54
data_InHgOsC2
_space_group_name_H-M_alt 'P 4/m m m'
_space_group_IT_number 123
_space_group_name_Hall '-P 4 2'
_cell_length_a 4.1408
_cell_length_b 4.1408
_cell_length_c 5.4320
_cell_angle_alpha 90.00
_cell_angle_beta 90.00
_cell_angle_gamma 90.00
loop_
_atom_site_label
_atom_site_type_symbol
_atom_site_fract_x
_atom_site_fract_y
_atom_site_fract_z
In1 In 0.0000 0.0000 0.0000
Hg1 Hg 0.5000 0.5000 0.5000
Os1 Os 0.5000 0.5000 0.0000
C1 C 0.0000 0.5000 0.5000

---

(4)
# Ce3TmSc2As6 PBE optimized geometry
# Formation enthalpy at 0 K (eV/atom): -1.41
# N(E_F) (states/eV per cell): 32.73
data_Ce3TmSc2As6
_space_group_name_H-M_alt 'C 1 2/m 1'
_space_group_IT_number 12
_space_group_name_Hall '-C 2y'
_cell_length_a 7.0876
_cell_length_b 12.2755
_cell_length_c 7.0358
_cell_angle_alpha 90.00
_cell_angle_beta 109.65
_cell_angle_gamma 90.00
loop_
_atom_site_label
_atom_site_type_symbol
_atom_site_fract_x
_atom_site_fract_y
_atom_site_fract_z
Ce1 Ce 0.0000 0.0000 0.0000
Ce2 Ce 0.0000 0.3349 0.0000
Tm1 Tm 0.0000 0.5000 0.5000
Sc1 Sc 0.0000 0.1672 0.5000
As1 As 0.2382 0.0000 0.7329
As2 As 0.2480 0.3304 0.7350

---

(5)
# NaY2PaSb4 PBE optimized geometry
# N(E_F) (states/eV per cell): 2.76
# Raw formation energy (meV per atom): -733
data_NaY2PaSb4
_space_group_name_H-M_alt 'P 1 2/m 1'
_space_group_IT_number 10
_space_group_name_Hall '-P 2y'
_cell_length_a 7.5604
_cell_length_b 4.4310
_cell_length_c 7.6407
_cell_angle_alpha 90.00
_cell_angle_beta 108.66
_cell_angle_gamma 90.00
loop_
_atom_site_label
_atom_site_type_symbol
_atom_site_fract_x
_atom_site_fract_y
_atom_site_fract_z
Na1 Na 0.0000 0.0000 0.0000
Y1 Y 0.0000 0.5000 0.5000
Y2 Y 0.5000 0.0000 0.5000
Pa1 Pa 0.5000 0.5000 0.0000
Sb1 Sb 0.2544 0.0000 0.7534
Sb2 Sb 0.2622 0.5000 0.2514

---

(6)
# In3GaS4 PBE optimized geometry
# N(E_F) (states/eV per cell): 0.33
# Raw formation energy (meV per atom): -430
data_In3GaS4
_space_group_name_H-M_alt 'P m n 21'
_space_group_IT_number 31
_space_group_name_Hall 'P 2ac -2'
_cell_length_a 10.2769
_cell_length_b 6.4703
_cell_length_c 6.3012
_cell_angle_alpha 90.00
_cell_angle_beta 90.00
_cell_angle_gamma 90.00
loop_
_atom_site_label
_atom_site_type_symbol
_atom_site_fract_x
_atom_site_fract_y
_atom_site_fract_z
In1 In 0.0000 0.2413 0.0000
In2 In 0.2494 0.2752 0.4879
Ga1 Ga 0.0000 0.8043 0.4521
S1 S 0.0000 0.1582 0.5233
S2 S 0.0000 0.7764 0.0828
S3 S 0.1979 0.6769 0.5665

---

(7)
# NaLiBiSe3 PBE optimized geometry
# N(E_F) (states/eV per cell): 3.81
# Raw formation energy (meV per atom): -681
data_NaLiBiSe3
_space_group_name_H-M_alt 'P 1 21/m 1'
_space_group_IT_number 11
_space_group_name_Hall '-P 2yb'
_cell_length_a 7.6568
_cell_length_b 4.3396
_cell_length_c 10.1518
_cell_angle_alpha 90.00
_cell_angle_beta 109.99
_cell_angle_gamma 90.00
loop_
_atom_site_label
_atom_site_type_symbol
_atom_site_fract_x
_atom_site_fract_y
_atom_site_fract_z
Na1 Na 0.9998 0.2500 0.1879
Li1 Li 0.4390 0.2500 0.4157
Bi1 Bi 0.4935 0.2500 0.8211
Se1 Se 0.2621 0.2500 0.0015
Se2 Se 0.2692 0.7500 0.6514
Se3 Se 0.2727 0.7500 0.3578

---

(8)
# YTm6Mg2 PBE optimized geometry
# Formation enthalpy at 0 K (eV/atom): 0.04
# N(E_F) (states/eV per cell): 23.47
data_YTm6Mg2
_space_group_name_H-M_alt 'C 1 2/m 1'
_space_group_IT_number 12
_space_group_name_Hall '-C 2y'
_cell_length_a 8.7883
_cell_length_b 9.4114
_cell_length_c 6.3574
_cell_angle_alpha 90.00
_cell_angle_beta 97.54
_cell_angle_gamma 90.00
loop_
_atom_site_label
_atom_site_type_symbol
_atom_site_fract_x
_atom_site_fract_y
_atom_site_fract_z
Y1 Y 0.0000 0.0000 0.0000
Tm1 Tm 0.1612 0.5000 0.6760
Tm2 Tm 0.1646 0.3294 0.1793
Mg1 Mg 0.0000 0.1550 0.5000